Record 1
# Li2VF6

A crystal of Li2VF6 relaxed with PBEsol (meta-GGA SCAN, Alexandria).

abc: 5.108 5.108 9.030
angles: 99.56 99.56 66.83
Atoms (fractional coordinates):
Li 0.136 0.864 0.500
Li 0.349 0.675 0.864
Li 0.675 0.349 0.364
Li 0.864 0.136 0.000
V 0.538 0.867 0.207
V 0.867 0.538 0.707
F 0.225 0.837 0.076
F 0.234 0.342 0.781
F 0.342 0.234 0.281
F 0.439 0.756 0.372
F 0.475 0.741 0.672
F 0.618 0.970 0.042
F 0.741 0.475 0.172
F 0.756 0.439 0.872
F 0.837 0.225 0.576
F 0.858 0.931 0.313
F 0.931 0.858 0.813
F 0.970 0.618 0.542

Properties
Its magnetization is 1.00 μB per formula unit. The energy comes out at -7.923 eV per atom. As for the space group: Cc.



Record 2
# Sc6Ga16Rh7

A crystal of Sc6Ga16Rh7 relaxed with PBEsol (meta-GGA SCAN, Alexandria).

abc: 8.660 8.660 8.660
angles: 60.00 60.00 60.00
Atoms (fractional coordinates):
Sc 0.216 0.216 0.784
Sc 0.216 0.784 0.216
Sc 0.216 0.784 0.784
Sc 0.784 0.216 0.216
Sc 0.784 0.216 0.784
Sc 0.784 0.784 0.216
Ga 0.130 0.623 0.623
Ga 0.157 0.157 0.157
Ga 0.157 0.157 0.529
Ga 0.157 0.529 0.157
Ga 0.377 0.377 0.377
Ga 0.377 0.377 0.870
Ga 0.377 0.870 0.377
Ga 0.471 0.843 0.843
Ga 0.529 0.157 0.157
Ga 0.623 0.130 0.623
Ga 0.623 0.623 0.130
Ga 0.623 0.623 0.623
Ga 0.843 0.471 0.843
Ga 0.843 0.843 0.471
Ga 0.843 0.843 0.843
Ga 0.870 0.377 0.377
Rh 0.000 0.000 0.500
Rh 0.000 0.500 0.000
Rh 0.000 0.500 0.500
Rh 0.500 0.000 0.000
Rh 0.500 0.000 0.500
Rh 0.500 0.500 0.000
Rh 0.500 0.500 0.500

Properties
Its magnetization is 0.00 μB per formula unit. The energy comes out at -20.919 eV per atom. As for the space group: Fm-3m. As for the energy of formation: -0.803 eV/atom.